No. 1
Y3HoCd | the Alexandria database | GGA-PBE | optimized geometry; polymorph energy (0 for the lowest one) = 0 meV per atom; energy of formation from the pure elements = -0.139 eV per atom
1.0
3.603 0.000 -0.638
-0.038 5.490 -0.217
0.781 0.865 14.917
Cd Y Ho
2 6 2
direct
0.539 0.778 0.078
0.461 0.222 0.922
0.661 0.259 0.322
0.129 0.763 0.258
0.871 0.237 0.742
0.339 0.741 0.678
0.949 0.726 0.899
0.051 0.274 0.101
0.267 0.248 0.533
0.733 0.752 0.467


No. 2
LiCuS | the Alexandria database | GGA-PBE | optimized geometry; formation energy from raw total energies = -0.72 eV per atom
1.0
-3.714 0.163 0.207
-0.030 -3.163 1.959
0.862 6.437 10.404
Li Cu S
4 4 4
direct
0.750 0.752 0.422
0.250 0.252 0.078
0.250 0.248 0.578
0.750 0.748 0.922
0.250 0.744 0.750
0.750 0.244 0.750
0.750 0.256 0.250
0.250 0.756 0.250
0.250 0.253 0.376
0.750 0.747 0.624
0.750 0.753 0.124
0.250 0.247 0.876


Electronic total energy for every record listed, in sequence, given in Ry per atom: -0.37604; -0.30113.